(1)
# BaNa2Si4 PBE-GGA relaxed
# Crystal system: trigonal
# ΔE_f (raw) (eV per formula unit): -0.782
# Final energy (eV per cell): -81.106
# Size of the total moment (μB per formula unit): 0.00
# Volume (A^3/atom): 26.36
# ΔE to the lowest computed polymorph (eV per atom): 0.056
data_BaNa2Si4
_chemical_formula_sum 'Ba3 Na6 Si12'
_symmetry_space_group_name_H-M 'R -3 m'
_symmetry_Int_Tables_number 166
_symmetry_space_group_name_Hall '-R 3 2"'
_cell_length_a 3.9672
_cell_length_b 3.9672
_cell_length_c 40.6145
_cell_angle_alpha 90.00
_cell_angle_beta 90.00
_cell_angle_gamma 120.00
loop_
_atom_site_label
_atom_site_fract_x
_atom_site_fract_y
_atom_site_fract_z
Ba1 0.0000 0.0000 0.0000
Na1 0.0000 0.0000 0.1275
Si1 0.0000 0.0000 0.2554
Si2 0.0000 0.0000 0.3926


(2)
# TaRuPb PBE-GGA relaxed
# Crystal system: trigonal
# Final energy (eV per cell): -23.700
# Energy of formation from the pure elements (eV/atom): 0.3791
# Size of the total moment (μB per formula unit): 0.00
# Volume (A^3/atom): 18.41
data_TaRuPb
_chemical_formula_sum 'Ta1 Ru1 Pb1'
_symmetry_space_group_name_H-M 'P 3 m 1'
_symmetry_Int_Tables_number 156
_cell_length_a 4.6072
_cell_length_b 4.6072
_cell_length_c 3.0051
_cell_angle_alpha 90.00
_cell_angle_beta 90.00
_cell_angle_gamma 120.00
loop_
_symmetry_equiv_pos_as_xyz
'x,y,z'
'-y,x-y,z'
'-x+y,-x,z'
'-y,-x,z'
'-x+y,y,z'
'x,x-y,z'
loop_
_atom_site_label
_atom_site_fract_x
_atom_site_fract_y
_atom_site_fract_z
Ta1 0.0000 0.0000 0.0000
Ru1 0.3333 0.6667 0.5017
Pb1 0.6667 0.3333 0.4990


(3)
# SrMg14Bi PBE-GGA relaxed
# Crystal system: orthorhombic
# Final energy (eV per cell): -56.379
# Energy of formation from the pure elements (eV/atom): -0.0189
# Size of the total moment (μB per formula unit): 0.00
# Volume (A^3/atom): 25.03
# ΔE to the lowest computed polymorph (eV per atom): 0.000
data_SrMg14Bi
_chemical_formula_sum 'Sr2 Mg28 Bi2'
_symmetry_space_group_name_H-M 'A m m 2'
_symmetry_Int_Tables_number 38
_cell_length_a 10.6168
_cell_length_b 6.4579
_cell_length_c 11.6816
_cell_angle_alpha 90.00
_cell_angle_beta 90.00
_cell_angle_gamma 90.00
loop_
_symmetry_equiv_pos_as_xyz
'x,y,z'
'-x,-y,z'
'-x,y,z'
'x,-y,z'
'x,y+1/2,z+1/2'
'-x,-y+1/2,z+1/2'
'-x,y+1/2,z+1/2'
'x,-y+1/2,z+1/2'
loop_
_atom_site_label
_atom_site_fract_x
_atom_site_fract_y
_atom_site_fract_z
Sr1 0.0000 0.0000 0.0000
Mg1 0.0000 0.2454 0.2501
Mg2 0.2445 0.0000 0.6671
Mg3 0.2595 0.0000 0.1678
Mg4 0.2642 0.2500 0.4105
Mg5 0.5000 0.0000 0.0014
Mg6 0.5000 0.0000 0.5042
Mg7 0.5000 0.2463 0.7487
Bi1 0.0000 0.0000 0.4902


(4)
# Na4YNp3Se8 PBE-GGA relaxed
# Crystal system: trigonal
# ΔE_f (raw) (eV per formula unit): -21.176
# Final energy (eV per cell): -298.844
# Size of the total moment (μB per formula unit): 12.00
# Volume (A^3/atom): 26.49
data_Na4YNp3Se8
_chemical_formula_sum 'Na12 Y3 Np9 Se24'
_symmetry_space_group_name_H-M 'R -3 m'
_symmetry_Int_Tables_number 166
_symmetry_space_group_name_Hall '-R 3 2"'
_cell_length_a 8.3758
_cell_length_b 8.3758
_cell_length_c 20.9276
_cell_angle_alpha 90.00
_cell_angle_beta 90.00
_cell_angle_gamma 120.00
loop_
_atom_site_label
_atom_site_fract_x
_atom_site_fract_y
_atom_site_fract_z
Na1 0.0000 0.0000 0.0000
Na2 0.0000 0.5000 0.0000
Y1 0.0000 0.0000 0.5000
Np1 0.0000 0.5000 0.5000
Se1 0.0000 0.0000 0.2430
Se2 0.0024 0.5012 0.2438


(5)
# U4Ge6Os7 PBE-GGA relaxed
# Crystal system: cubic
# Final energy (eV per cell): -314.993
# Energy of formation from the pure elements (eV/atom): -0.3548
# Size of the total moment (μB per formula unit): 3.43
# Volume (A^3/atom): 17.07
data_U4Ge6Os7
_chemical_formula_sum 'U8 Ge12 Os14'
_symmetry_space_group_name_H-M 'I m -3 m'
_symmetry_Int_Tables_number 229
_symmetry_space_group_name_Hall '-I 4 2 3'
_cell_length_a 8.3406
_cell_length_b 8.3406
_cell_length_c 8.3406
_cell_angle_alpha 90.00
_cell_angle_beta 90.00
_cell_angle_gamma 90.00
loop_
_atom_site_label
_atom_site_fract_x
_atom_site_fract_y
_atom_site_fract_z
U1 0.2500 0.2500 0.2500
Ge1 0.0000 0.0000 0.3078
Os1 0.0000 0.0000 0.0000
Os2 0.0000 0.2500 0.5000


(6)
# ScGa3Rh PBE-GGA relaxed
# Crystal system: cubic
# Final energy (eV per cell): -78.618
# Energy of formation from the pure elements (eV/atom): -0.6885
# Size of the total moment (μB per formula unit): 0.00
# Volume (A^3/atom): 16.45
# ΔE to the lowest computed polymorph (eV per atom): 0.000
data_ScGa3Rh
_chemical_formula_sum 'Sc3 Ga9 Rh3'
_symmetry_space_group_name_H-M 'P m -3 m'
_symmetry_Int_Tables_number 221
_symmetry_space_group_name_Hall '-P 4 2 3'
_cell_length_a 6.2722
_cell_length_b 6.2722
_cell_length_c 6.2722
_cell_angle_alpha 90.00
_cell_angle_beta 90.00
_cell_angle_gamma 90.00
loop_
_atom_site_label
_atom_site_fract_x
_atom_site_fract_y
_atom_site_fract_z
Sc1 0.0000 0.0000 0.5000
Ga1 0.0000 0.0000 0.0000
Ga2 0.2816 0.2816 0.2816
Rh1 0.0000 0.5000 0.5000


(7)
# KBe2Se2 PBE-GGA relaxed
# Crystal system: tetragonal
# ΔE_f (raw) (eV per formula unit): -2.238
# Final energy (eV per cell): -35.514
# Size of the total moment (μB per formula unit): 0.00
# Volume (A^3/atom): 21.16
# ΔE to the lowest computed polymorph (eV per atom): 0.000
data_KBe2Se2
_chemical_formula_sum 'K2 Be4 Se4'
_symmetry_space_group_name_H-M 'I 4/m m m'
_symmetry_Int_Tables_number 139
_symmetry_space_group_name_Hall '-I 4 2'
_cell_length_a 4.0244
_cell_length_b 4.0244
_cell_length_c 13.0648
_cell_angle_alpha 90.00
_cell_angle_beta 90.00
_cell_angle_gamma 90.00
loop_
_atom_site_label
_atom_site_fract_x
_atom_site_fract_y
_atom_site_fract_z
K1 0.0000 0.0000 0.0000
Be1 0.0000 0.5000 0.2500
Se1 0.0000 0.0000 0.3404


(8)
# CePa4 PBE-GGA relaxed
# Crystal system: monoclinic
# Final energy (eV per cell): -84.888
# Energy of formation from the pure elements (eV/atom): 0.2947
# Size of the total moment (μB per formula unit): 0.00
# Volume (A^3/atom): 27.08
# ΔE to the lowest computed polymorph (eV per atom): 0.201
data_CePa4
_chemical_formula_sum 'Ce2 Pa8'
_symmetry_space_group_name_H-M 'P 1 21/c 1'
_symmetry_Int_Tables_number 14
_cell_length_a 8.0327
_cell_length_b 5.3920
_cell_length_c 6.2531
_cell_angle_alpha 90.00
_cell_angle_beta 90.46
_cell_angle_gamma 90.00
loop_
_symmetry_equiv_pos_as_xyz
'x,y,z'
'-x,-y,-z'
'-x,y+1/2,-z+1/2'
'x,-y+1/2,z+1/2'
loop_
_atom_site_label
_atom_site_fract_x
_atom_site_fract_y
_atom_site_fract_z
Ce1 0.0000 0.0000 0.0000
Pa1 0.3247 0.2420 0.4981
Pa2 0.3301 0.7497 0.2482